VASP calculation (PBE-GGA) on a relaxed Ce5Ga2Os crystal.

Summary:
**Symmetry**: Cmcm
**Calculated formation energy**: -0.290 eV per atom
**E above lowest polymorph**: 0.0361 eV per atom
**Size of the total moment**: 0.00 μB per formula unit

Lattice parameters (Å, degrees): 5.511 5.511 15.976 90.00 90.00 131.88
Positions (direct):
Ce 0.045 0.955 0.750
Ce 0.174 0.826 0.547
Ce 0.174 0.826 0.953
Ce 0.451 0.549 0.591
Ce 0.451 0.549 0.909
Ce 0.549 0.451 0.091
Ce 0.549 0.451 0.409
Ce 0.826 0.174 0.047
Ce 0.826 0.174 0.453
Ce 0.955 0.045 0.250
Ga 0.242 0.758 0.165
Ga 0.242 0.758 0.335
Ga 0.758 0.242 0.665
Ga 0.758 0.242 0.835
Os 0.319 0.681 0.750
Os 0.681 0.319 0.250